No. 1
CdMo2Cl: relaxed, PBE.

abc: 3.8215 3.8215 10.1115
angles: 90.00 90.00 90.00
Space group I4/mmm (No. 139)
Asymmetric unit:
Cd (0.0000, 0.0000, 0.0000)
Mo (0.0000, 0.5000, 0.2500)
Cl (0.0000, 0.0000, 0.5000)

## Properties
ΔE_f (raw)   1.00 eV/atom
Total moment   0.00 μB/cell
Offset from the most stable computed form   3.77 eV per formula unit


No. 2
CdMo2Cl: relaxed, PBE.

abc: 3.8419 3.8419 21.5167
angles: 90.00 90.00 90.00
Space group I-42d (No. 122)
Asymmetric unit:
Cd (0.0000, 0.0000, 0.0000)
Mo (0.1999, 0.2500, 0.1250)
Cl (0.0000, 0.0000, 0.5000)

## Properties
ΔE_f (raw)   0.81 eV/atom
Total moment   0.00 μB/cell
Offset from the most stable computed form   3.00 eV per formula unit